(1)
Density functional theory data (GGA-PBE) for a relaxed structure of LaRe2MoI.

Summary:
V, Å³/f.u.: 119.3
M_tot, μB per cell: 1.4
Uncorrected formation energy, meV per atom: 1830.3

The structure in POSCAR format:
```
LaRe2MoI
1.0
4.920 0.000 0.000
0.000 4.929 0.000
0.000 0.000 4.920
I Re Mo La
1 2 1 1
Direct
0.000 0.000 0.000 I
0.000 0.000 0.500 Re
0.500 0.000 0.000 Re
0.000 0.500 0.000 Mo
0.500 0.500 0.500 La
```

(2)
Density functional theory data (GGA-PBE) for a relaxed structure of BaHfAg2N.

Summary:
V, Å³/f.u.: 110.7
M_tot, μB per cell: 1.2
Uncorrected formation energy, meV per atom: 922.0

The structure in POSCAR format:
```
BaHfAg2N
1.0
-0.843 4.455 0.727
-4.196 -0.281 -3.141
-2.627 -1.086 3.606
Hf Ba Ag N
1 1 2 1
Direct
0.500 0.500 0.500 Hf
0.000 0.500 0.000 Ba
0.000 0.000 0.500 Ag
0.500 0.000 0.000 Ag
0.000 0.000 0.000 N
```

(3)
Density functional theory data (GGA-PBE) for a relaxed structure of AgTeCl2.

Summary:
V, Å³/f.u.: 97.2
M_tot, μB per cell: 0.0
Uncorrected formation energy, meV per atom: 49.4

The structure in POSCAR format:
```
AgTeCl2
1.0
7.709 0.000 0.000
0.000 7.709 0.000
3.855 3.855 3.269
Te Ag Cl
2 2 4
Direct
0.000 0.000 0.000 Te
0.750 0.250 0.500 Te
0.500 0.500 0.000 Ag
0.250 0.750 0.500 Ag
0.599 0.125 0.250 Cl
0.151 0.625 0.250 Cl
0.375 0.401 0.750 Cl
0.875 0.849 0.750 Cl
```

no.,total DFT energy (no corrections) (eV per atom)
1,-6.611
2,-4.259
3,-2.372